#A
Na2Zn2Ag meta-GGA SCAN single point on PBEsol structure; space-group type = I4/mmm, No. 139
1.0
-1.7441 1.7441 9.0290
1.7441 -1.7441 9.0290
1.7441 1.7441 -9.0290
Na Zn Ag
2 2 1
direct
0.1019 0.1019 0.0000 Na
0.8981 0.8981 0.0000 Na
0.2500 0.7500 0.5000 Zn
0.7500 0.2500 0.5000 Zn
0.5000 0.5000 0.0000 Ag

#B
Na2Zn2Ag meta-GGA SCAN single point on PBEsol structure; space-group type = P4/mbm, No. 127
1.0
6.6569 0.0000 0.0000
0.0000 6.6569 0.0000
0.0000 0.0000 4.7869
Na Zn Ag
4 4 2
direct
0.1786 0.3214 0.0000 Na
0.3214 0.8214 0.0000 Na
0.6786 0.1786 0.0000 Na
0.8214 0.6786 0.0000 Na
0.1328 0.6328 0.5000 Zn
0.3672 0.1328 0.5000 Zn
0.6328 0.8672 0.5000 Zn
0.8672 0.3672 0.5000 Zn
0.0000 0.0000 0.5000 Ag
0.5000 0.5000 0.5000 Ag

Which of them is most stable? Easy: #B.

#A
NbAg3Pt meta-GGA SCAN single point on PBEsol structure; space-group type = Pm-3m, No. 221
1.0
4.8967 0.0000 0.0000
0.0000 4.8967 0.0000
0.0000 0.0000 4.8967
Nb Ag Pt
1 3 1
direct
0.0000 0.0000 0.0000 Nb
0.0000 0.5000 0.5000 Ag
0.5000 0.0000 0.5000 Ag
0.5000 0.5000 0.0000 Ag
0.5000 0.5000 0.5000 Pt

#B
NbAg3Pt meta-GGA SCAN single point on PBEsol structure; space-group type = Pm-3m, No. 221
1.0
4.9092 0.0000 0.0000
0.0000 4.9092 0.0000
0.0000 0.0000 4.9092
Nb Ag Pt
1 3 1
direct
0.0000 0.0000 0.0000 Nb
0.0000 0.0000 0.5000 Ag
0.0000 0.5000 0.0000 Ag
0.5000 0.0000 0.0000 Ag
0.5000 0.5000 0.5000 Pt

Which of them is most stable? Easy: #A.

#A
NiAgOs meta-GGA SCAN single point on PBEsol structure; space-group type = P3m1, No. 156
1.0
4.3197 0.0000 0.0000
-2.1598 3.7409 0.0000
0.0000 0.0000 2.5442
Ni Ag Os
1 1 1
direct
0.0000 0.0000 0.0000 Ni
0.6667 0.3333 0.0218 Ag
0.3333 0.6667 0.5143 Os

#B
NiAgOs meta-GGA SCAN single point on PBEsol structure; space-group type = Fmm2, No. 42
1.0
0.0000 2.2527 6.7945
1.3662 0.0000 6.7945
1.3662 2.2527 0.0000
Ni Ag Os
1 1 1
direct
0.0000 0.0000 0.0000 Ni
0.3348 0.3348 0.6652 Ag
0.6499 0.6499 0.3501 Os

Which of them is most stable? Easy: #B.

#A
Ni2AgPb meta-GGA SCAN single point on PBEsol structure; space-group type = I-4m2, No. 119
1.0
-1.9062 1.9062 4.1332
1.9062 -1.9062 4.1332
1.9062 1.9062 -4.1332
Ni Ag Pb
2 1 1
direct
0.0000 0.0000 0.0000 Ni
0.7500 0.2500 0.5000 Ni
0.2500 0.7500 0.5000 Ag
0.5000 0.5000 0.0000 Pb

#B
Ni2AgPb meta-GGA SCAN single point on PBEsol structure; space-group type = I4/mmm, No. 139
1.0
-2.2015 2.2015 3.0539
2.2015 -2.2015 3.0539
2.2015 2.2015 -3.0539
Ni Ag Pb
2 1 1
direct
0.2500 0.7500 0.5000 Ni
0.7500 0.2500 0.5000 Ni
0.0000 0.0000 0.0000 Ag
0.5000 0.5000 0.0000 Pb

Which of them is most stable? Easy: #B.

#A
NiAgRh2 meta-GGA SCAN single point on PBEsol structure; space-group type = Immm, No. 71
1.0
-1.3515 2.2159 4.5537
1.3515 -2.2159 4.5537
1.3515 2.2159 -4.5537
Ni Ag Rh
1 1 2
direct
0.0000 0.0000 0.0000 Ni
0.5000 0.5000 0.0000 Ag
0.2250 0.7250 0.5000 Rh
0.7750 0.2750 0.5000 Rh

#B
NiAgRh2 meta-GGA SCAN single point on PBEsol structure; space-group type = I4/mmm, No. 139
1.0
-1.8697 1.8697 3.8752
1.8697 -1.8697 3.8752
1.8697 1.8697 -3.8752
Ni Ag Rh
1 1 2
direct
0.0000 0.0000 0.0000 Ni
0.5000 0.5000 0.0000 Ag
0.2500 0.7500 0.5000 Rh
0.7500 0.2500 0.5000 Rh

Which of them is most stable? Easy: #A.

#A
Ni2AgRu meta-GGA SCAN single point on PBEsol structure; space-group type = Pmmm, No. 47
1.0
2.6268 0.0000 0.0000
0.0000 3.5209 0.0000
0.0000 0.0000 5.5067
Ni Ag Ru
2 1 1
direct
0.0000 0.0000 0.2209 Ni
0.0000 0.0000 0.7791 Ni
0.5000 0.5000 0.5000 Ag
0.5000 0.5000 0.0000 Ru

#B
Ni2AgRu meta-GGA SCAN single point on PBEsol structure; space-group type = F-43m, No. 216
1.0
0.0000 2.9602 2.9602
2.9602 0.0000 2.9602
2.9602 2.9602 0.0000
Ni Ag Ru
2 1 1
direct
0.0000 0.0000 0.0000 Ni
0.2500 0.2500 0.2500 Ni
0.5000 0.5000 0.5000 Ag
0.7500 0.7500 0.7500 Ru

Which of them is most stable? Easy: #A.